1.
ErCoO3: optimized geometry, PBE with a Hubbard U.

## Properties
Total moment = 7.995 Bohr magnetons per cell
VASP energy = -0.52729 Ry per atom

a = 5.1412 Å, b = 5.5525 Å, c = 7.3229 Å
α = 90.00°, β = 90.00°, γ = 90.00°
Each line ends with the local moment (μB).
Sites, in units of the cell vectors:
O (0.1111, 0.4717, 0.2500)  -0.03
O (0.8058, 0.8103, 0.4462)  -0.01
O (0.6942, 0.3103, 0.4462)  -0.01
O (0.1942, 0.1897, 0.9462)  -0.01
O (0.3058, 0.6897, 0.5538)  -0.01
O (0.8889, 0.5283, 0.7500)  -0.03
O (0.6942, 0.3103, 0.0538)  -0.01
O (0.3058, 0.6897, 0.9462)  -0.01
O (0.6111, 0.0283, 0.7500)  -0.02
O (0.8058, 0.8103, 0.0538)  -0.01
O (0.1942, 0.1897, 0.5538)  -0.01
O (0.3889, 0.9717, 0.2500)  -0.02
Co (0.0000, 0.5000, 0.5000)  2.01
Co (0.5000, 0.0000, 0.5000)  2.04
Co (0.0000, 0.5000, 0.0000)  2.00
Co (0.5000, 0.0000, 0.0000)  2.04
Er (0.0252, 0.9173, 0.7500)  0.02
Er (0.5252, 0.5827, 0.2500)  0.02
Er (0.4748, 0.4173, 0.7500)  0.02
Er (0.9748, 0.0827, 0.2500)  0.02

=====

2.
ErCo2O4: optimized geometry, PBE with a Hubbard U.

## Properties
Total moment = 10.000 Bohr magnetons per cell
VASP energy = -0.50100 Ry per atom

a = 6.1488 Å, b = 6.1488 Å, c = 5.5521 Å
α = 114.88°, β = 114.88°, γ = 103.02°
Each line ends with the local moment (μB).
Sites, in units of the cell vectors:
Co (0.5000, 0.0000, 0.0000)  1.96
Co (0.0000, 0.5000, 0.5000)  1.96
Co (0.5000, 0.5000, 0.0000)  2.64
Co (0.5000, 0.5000, 0.5000)  2.65
O (0.8410, 0.4760, 0.7092)  0.07
O (0.1324, 0.2775, 0.5838)  0.07
O (0.5240, 0.1590, 0.7908)  0.06
O (0.7225, 0.8676, 0.9162)  0.07
O (0.2775, 0.1324, 0.0838)  0.07
O (0.8676, 0.7225, 0.4162)  0.07
O (0.4760, 0.8410, 0.2092)  0.06
O (0.1590, 0.5240, 0.2908)  0.07
Er (0.8750, 0.1250, 0.7500)  0.06
Er (0.1250, 0.8750, 0.2500)  0.06

=====

3.
Er2CoO4: optimized geometry, PBE with a Hubbard U.

## Properties
Total moment = 5.999 Bohr magnetons per cell
VASP energy = -0.55887 Ry per atom

a = 6.4926 Å, b = 6.4926 Å, c = 6.4926 Å
α = 120.00°, β = 90.01°, γ = 120.00°
Each line ends with the local moment (μB).
Sites, in units of the cell vectors:
Er (0.3750, 0.2500, 0.6250)  0.03
Er (0.3750, 0.7500, 0.1250)  0.03
Er (0.3750, 0.7500, 0.6250)  0.04
Er (0.8750, 0.2500, 0.6250)  0.03
O (0.6192, 0.2385, 0.3807)  0.04
O (0.1307, 0.7385, 0.8692)  0.03
O (0.1308, 0.2615, 0.8693)  0.04
O (0.6193, 0.7615, 0.3808)  0.03
O (0.6078, 0.7385, 0.8693)  0.03
O (0.6193, 0.2385, 0.8578)  0.04
O (0.1307, 0.2615, 0.3922)  0.04
O (0.1422, 0.7615, 0.3807)  0.03
Co (0.7500, 0.5000, 0.2500)  2.72
Co (0.0000, 0.0000, 0.0000)  2.72

=====

4.
ErCoPO: optimized geometry, PBE with a Hubbard U.

## Properties
Total moment = 6.004 Bohr magnetons per cell
VASP energy = -0.47267 Ry per atom

a = 4.2570 Å, b = 5.8869 Å, c = 5.6602 Å
α = 90.00°, β = 90.00°, γ = 90.00°
Each line ends with the local moment (μB).
Sites, in units of the cell vectors:
O (0.0000, 0.1746, 0.8924)  0.13
O (0.0000, 0.8254, 0.3924)  0.13
Er (0.5000, 0.2668, 0.9144)  0.05
Er (0.5000, 0.7332, 0.4144)  0.05
P (0.5000, 0.7378, 0.9118)  0.07
P (0.5000, 0.2622, 0.4118)  0.07
Co (0.0000, 0.8667, 0.0354)  2.54
Co (0.0000, 0.1333, 0.5354)  2.54

=====

5.
ErCoPO: optimized geometry, PBE with a Hubbard U.

## Properties
Total moment = 1.203 Bohr magnetons per cell
VASP energy = -0.50019 Ry per atom

a = 3.8262 Å, b = 3.8262 Å, c = 7.6758 Å
α = 90.00°, β = 90.00°, γ = 90.00°
Each line ends with the local moment (μB).
Sites, in units of the cell vectors:
Er (0.5000, 0.0000, 0.8556)  0.00
Er (0.0000, 0.5000, 0.1444)  0.00
O (0.0000, 0.0000, 0.0000)  0.00
O (0.5000, 0.5000, 0.0000)  0.00
P (0.5000, 0.0000, 0.3622)  -0.01
P (0.0000, 0.5000, 0.6378)  -0.01
Co (0.5000, 0.5000, 0.5000)  0.65
Co (0.0000, 0.0000, 0.5000)  0.65

=====

6.
ErCoPO: optimized geometry, PBE with a Hubbard U.

## Properties
Total moment = 5.881 Bohr magnetons per cell
VASP energy = -0.38847 Ry per atom

a = 4.3310 Å, b = 4.3310 Å, c = 8.7560 Å
α = 90.00°, β = 90.00°, γ = 90.00°
Sites, in units of the cell vectors:
P (0.7500, 0.7500, 0.3242)
P (0.2500, 0.2500, 0.6758)
Co (0.7500, 0.7500, 0.0159)
Co (0.2500, 0.2500, 0.9841)
Er (0.7500, 0.2500, 0.5000)
Er (0.2500, 0.7500, 0.5000)
O (0.7500, 0.2500, 0.0000)
O (0.2500, 0.7500, 0.0000)